# 1
PBE-GGA HoTiZnIr, optimized geometry; space group = F-43m (216); ΔE_f = -0.44 eV/atom
1.0
-1.070 -4.459 0.919
0.484 -1.674 4.340
-3.786 -1.018 2.550
Zn Ir Ho Ti
1 1 1 1
Cartesian
-3.279 -5.363 5.857
-1.093 -1.788 1.952
0.000 0.000 0.000
-2.186 -3.575 3.904

# 2
PBE-GGA TcNiIr2, optimized geometry; ΔE to the lowest computed polymorph = 69.7 meV/atom; space group = Pmm2 (25); ΔE_f = -0.05 eV/atom
1.0
-1.734 -2.986 1.596
1.599 0.229 2.166
-1.947 3.503 4.439
Ir Ni Tc
2 1 1
Cartesian
-1.914 3.473 4.418
-1.011 -0.510 2.482
-0.179 1.871 3.306
-1.099 1.280 5.735

# 3
PBE-GGA NaCrSe2, optimized geometry; energy relative to the elements, uncorrected = -0.809 eV/atom; space group = R-3m (166)
1.0
-1.911 6.905 0.268
-3.017 5.434 3.574
0.592 6.452 3.069
Cr Se Na
1 2 1
Cartesian
0.000 0.000 0.000
-1.158 5.017 1.846
-3.179 13.773 5.067
-2.168 9.395 3.456

# 4
PBE-GGA Dy2Ho3Tl3, optimized geometry; ΔE to the lowest computed polymorph = 0.0 meV/atom; space group = Immm (71); ΔE_f = -0.26 eV/atom
1.0
3.704 0.000 -0.597
-0.202 5.206 -1.252
-0.012 0.062 11.725
Dy Ho Tl
2 3 3
Cartesian
0.820 4.015 5.095
2.670 1.253 4.782
1.301 1.993 8.079
2.190 3.275 1.797
1.852 0.000 -0.298
3.077 4.633 7.304
-0.101 2.603 -0.626
0.414 0.635 2.573

# 5
PBE-GGA KNbSb2I, optimized geometry; ΔE to the lowest computed polymorph = 0.0 meV/atom; energy relative to the elements, uncorrected = -0.166 eV/atom; space group = P4/mmm (123)
1.0
-3.214 -2.635 3.375
4.021 -0.407 3.511
-1.701 5.367 2.570
I Sb Nb K
1 2 1 1
Cartesian
-0.850 2.683 1.285
2.011 -0.204 1.756
-1.607 -1.318 1.688
0.000 0.000 0.000
-0.447 1.162 4.728

# 6
PBE-GGA BaPbCl6, optimized geometry; energy relative to the elements, uncorrected = -1.307 eV/atom; space group = R-3 (148)
1.0
-0.446 5.199 -4.523
1.156 -1.152 -6.715
-5.994 0.074 -4.595
Ba Pb Cl
1 1 6
Cartesian
-2.642 2.061 -7.916
0.000 0.000 0.000
-4.162 -0.230 -6.382
-4.927 4.154 -7.357
-1.412 2.891 -5.140
-0.357 -0.033 -8.476
-1.121 4.352 -9.451
-3.872 1.230 -10.693